## Ta2VO6 (GGA+U)

Data for an optimized crystal structure of Ta2VO6.

Unit cell a=5.3503 b=5.3503 c=6.9455 alpha=114.62 beta=114.62 gamma=41.38
Closest atoms and distances in Å follow each position.
Element x y z (fractional)
1 Ta 0.1809 0.1809 0.1371  4 O 1.84-1.98
2 Ta 0.8191 0.8191 0.8629  4 O 1.84-1.98
3 V 0.0000 0.0000 0.5000  6 O 2.16-2.32
4 O 0.0175 0.0175 0.2008  1 Ta 1.88
5 O 0.3029 0.3029 0.9352  2 Ta 1.98
6 O 0.3491 0.3491 0.3969  1 Ta 1.84
7 O 0.6509 0.6509 0.6031  1 Ta 1.84
8 O 0.6971 0.6971 0.0648  2 Ta 1.98
9 O 0.9825 0.9825 0.7992  1 Ta 1.88

Results
**DOS at the Fermi energy**: 0.000 states/eV per cell
**Uncorrected energy**: -9.346 eV/atom
**SG**: C2/m, No. 12
**Total magnetic moment**: 0.33 μB/atom